# 1
Compound: Ba7Au2N2
Source: Alexandria via LeMat-Bulk
Functional: PBE
Structure: relaxed

a = 8.3923 Å, b = 8.3923 Å, c = 7.6706 Å
α = 96.59°, β = 96.59°, γ = 107.75°
Last column: nearest neighbours and their distance in Å.
Positions (direct):
Ba 0.0000 0.0000 0.0000  2 N 2.72
Ba 0.0765 0.3920 0.7205  1 N 2.53
Ba 0.3920 0.0765 0.7205  1 N 2.53
Ba 0.4038 0.4038 0.2066  1 N 2.54
Ba 0.5962 0.5962 0.7934  1 N 2.54
Ba 0.6080 0.9235 0.2795  1 N 2.53
Ba 0.9235 0.6080 0.2795  1 N 2.53
Au 0.3173 0.6827 0.5000  6 Ba 3.36-3.41
Au 0.6827 0.3173 0.5000  6 Ba 3.36-3.41
N 0.2490 0.2490 0.9002  4 Ba 2.53-2.72
N 0.7510 0.7510 0.0998  4 Ba 2.53-2.72

Properties
- D(E_F): 8.431 states/eV/cell
- Total energy: -41.0 eV per formula unit

# 2
Compound: Er6Te3Pd
Source: Alexandria via LeMat-Bulk
Functional: PBE
Structure: relaxed

a = 12.2083 Å, b = 3.9240 Å, c = 12.3665 Å
α = 90.00°, β = 105.18°, γ = 90.00°
Last column: nearest neighbours and their distance in Å.
Positions (direct):
Er 0.0100 0.2500 0.3522  4 Te 3.09-3.15
Er 0.0839 0.2500 0.8877  4 Te 3.05-3.09
Er 0.2644 0.7500 0.3087  2 Pd 2.97, 3 Te 3.04-3.07
Er 0.2819 0.7500 0.7658  3 Te 3.05-3.08
Er 0.3955 0.2500 0.5539  3 Pd 2.86-3.08
Er 0.4647 0.7500 0.1500  2 Pd 2.95, 3 Te 3.05-3.08
Er 0.5353 0.2500 0.8500  2 Pd 2.95, 3 Te 3.05-3.08
Er 0.6045 0.7500 0.4461  3 Pd 2.86-3.08
Er 0.7181 0.2500 0.2342  3 Te 3.05-3.08
Er 0.7356 0.2500 0.6913  2 Pd 2.97, 3 Te 3.04-3.07
Er 0.9161 0.7500 0.1123  4 Te 3.05-3.09
Er 0.9900 0.7500 0.6478  4 Te 3.09-3.15
Te 0.1134 0.2500 0.1439  6 Er 3.05-3.15
Te 0.1714 0.7500 0.5141  7 Er 3.04-3.30
Te 0.3427 0.2500 0.9651  6 Er 3.05-3.08
Te 0.6573 0.7500 0.0349  6 Er 3.05-3.08
Te 0.8286 0.2500 0.4859  7 Er 3.04-3.30
Te 0.8866 0.7500 0.8561  6 Er 3.05-3.15
Pd 0.4502 0.2500 0.3243  7 Er 2.86-3.08
Pd 0.5498 0.7500 0.6757  7 Er 2.86-3.08

Properties
- D(E_F): 19.491 states/eV/cell
- Total energy: -50.6 eV per formula unit

# 3
Compound: ScCuAgN2
Source: Alexandria via LeMat-Bulk
Functional: PBE
Structure: relaxed

a = 3.8979 Å, b = 3.8979 Å, c = 4.8486 Å
α = 90.00°, β = 90.00°, γ = 90.00°
Last column: nearest neighbours and their distance in Å.
Positions (direct):
Sc 0.0000 0.0000 0.0000  2 Cu 2.42
Cu 0.0000 0.0000 0.5000  4 N 1.95
Ag 0.5000 0.5000 0.0000  4 Sc 2.76
N 0.0000 0.5000 0.5000  2 Cu 1.95
N 0.5000 0.0000 0.5000  2 Cu 1.95

Properties
- D(E_F): 3.056 states/eV/cell
- Total energy: -23.3 eV per formula unit

# 4
Compound: LiSmDyOs
Source: Alexandria via LeMat-Bulk
Functional: PBE
Structure: relaxed

a = 4.9461 Å, b = 4.9461 Å, c = 4.9461 Å
α = 60.00°, β = 60.00°, γ = 60.00°
Last column: nearest neighbours and their distance in Å.
Positions (direct):
Li 0.0000 0.0000 0.0000  4 Sm 3.03, 4 Dy 3.03
Sm 0.2500 0.2500 0.2500  4 Os 3.03, 4 Li 3.03
Dy 0.7500 0.7500 0.7500  4 Os 3.03, 4 Li 3.03
Os 0.5000 0.5000 0.5000  4 Dy 3.03, 4 Sm 3.03

Properties
- D(E_F): 2.289 states/eV/cell
- Total energy: -23.2 eV per formula unit
- Formation energy from the elements: -0.183 eV/atom

# 5
Compound: CsInNiAs
Source: Alexandria via LeMat-Bulk
Functional: PBE
Structure: relaxed

a = 4.1842 Å, b = 4.1842 Å, c = 14.0751 Å
α = 90.00°, β = 90.00°, γ = 90.00°
Last column: nearest neighbours and their distance in Å.
Positions (direct):
Cs 0.2500 0.2500 0.2327  4 As 3.68, 4 Ni 3.89
Cs 0.7500 0.7500 0.7673  4 As 3.68, 4 Ni 3.89
In 0.2500 0.7500 0.5000  4 In 2.96
In 0.7500 0.2500 0.5000  4 In 2.96
Ni 0.2500 0.7500 0.0000  4 As 2.36
Ni 0.7500 0.2500 0.0000  4 As 2.36
As 0.2500 0.2500 0.9225  4 Ni 2.36
As 0.7500 0.7500 0.0775  4 Ni 2.36

Properties
- D(E_F): 5.428 states/eV/cell
- Total energy: -15.0 eV per formula unit
- Formation energy from the elements: -0.248 eV/atom

# 6
Compound: Hf12Fe6Sb
Source: Alexandria via LeMat-Bulk
Functional: PBE
Structure: relaxed

a = 7.7307 Å, b = 7.7307 Å, c = 7.7307 Å
α = 109.47°, β = 109.47°, γ = 109.47°
Last column: nearest neighbours and their distance in Å.
Positions (direct):
Hf 0.0984 0.8047 0.2936  1 Fe 2.45
Hf 0.1953 0.2936 0.4889  1 Fe 2.45
Hf 0.1953 0.7064 0.9016  1 Fe 2.45
Hf 0.2936 0.0984 0.8047  1 Fe 2.45
Hf 0.2936 0.4889 0.1953  1 Fe 2.45
Hf 0.4889 0.1953 0.2936  1 Fe 2.45
Hf 0.5111 0.8047 0.7064  1 Fe 2.45
Hf 0.7064 0.5111 0.8047  1 Fe 2.45
Hf 0.7064 0.9016 0.1953  1 Fe 2.45
Hf 0.8047 0.2936 0.0984  1 Fe 2.45
Hf 0.8047 0.7064 0.5111  1 Fe 2.45
Hf 0.9016 0.1953 0.7064  1 Fe 2.45
Fe 0.1233 0.6233 0.5000  1 Fe 2.20, 2 Hf 2.45
Fe 0.3767 0.5000 0.8767  1 Fe 2.20, 2 Hf 2.45
Fe 0.5000 0.1233 0.6233  1 Fe 2.20, 2 Hf 2.45
Fe 0.5000 0.8767 0.3767  1 Fe 2.20, 2 Hf 2.45
Fe 0.6233 0.5000 0.1233  1 Fe 2.20, 2 Hf 2.45
Fe 0.8767 0.3767 0.5000  1 Fe 2.20, 2 Hf 2.45
Sb 0.0000 0.0000 0.0000  12 Hf 3.15

Properties
- D(E_F): 20.614 states/eV/cell
- Total energy: -177.2 eV per formula unit

# 7
Compound: ThTaAl4
Source: Alexandria via LeMat-Bulk
Functional: PBE
Structure: relaxed

a = 5.4350 Å, b = 5.4350 Å, c = 5.4350 Å
α = 60.00°, β = 60.00°, γ = 60.00°
Last column: nearest neighbours and their distance in Å.
Positions (direct):
Th 0.0000 0.0000 0.0000  12 Al 3.19, 4 Ta 3.33
Ta 0.7500 0.7500 0.7500  12 Al 3.19, 4 Th 3.33
Al 0.3756 0.3756 0.3756  6 Al 2.70-2.73
Al 0.3756 0.3756 0.8732  6 Al 2.70-2.73
Al 0.3756 0.8732 0.3756  6 Al 2.70-2.73
Al 0.8732 0.3756 0.3756  6 Al 2.70-2.73

Properties
- D(E_F): 3.252 states/eV/cell
- Total energy: -35.3 eV per formula unit
- Formation energy from the elements: -0.180 eV/atom

# 8
Compound: La2MgRhC
Source: Alexandria via LeMat-Bulk
Functional: PBE
Structure: relaxed

a = 5.4340 Å, b = 5.4340 Å, c = 3.9400 Å
α = 90.00°, β = 90.00°, γ = 90.00°
Last column: nearest neighbours and their distance in Å.
Positions (direct):
La 0.0000 0.5000 0.0000  2 C 2.72
La 0.5000 0.0000 0.0000  2 C 2.72
Mg 0.0000 0.0000 0.5000  8 La 3.36
Rh 0.5000 0.5000 0.5000  2 C 1.97
C 0.5000 0.5000 0.0000  2 Rh 1.97

Properties
- D(E_F): 3.717 states/eV/cell
- Total energy: -29.3 eV per formula unit
- Formation energy from the elements: -0.252 eV/atom